No. 1
A relaxed CsCdAsO crystal. Source: OQMD, functional PBE.

It has space group P4/nmm (No. 129, origin choice 2), with a = 4.6452 Å, b = 4.6452 Å, c = 11.2967 Å, α = 90.00°, β = 90.00° and γ = 90.00°. The distinct sites, in fractional coordinates, are Cs at (0.2500, 0.7500, 0.0000), Cd at (0.2500, 0.2500, 0.4647), As at (0.2500, 0.2500, 0.2244) and O at (0.2500, 0.7500, 0.5000).

The total energy is -2.63 eV/atom. The energy above the lowest structure with this stoichiometry is 16.77 kcal/mol of atoms.

---

No. 2
A relaxed CsCdAsO crystal. Source: OQMD, functional PBE.

It has space group Pmc2_1 (No. 26), with a = 3.4968 Å, b = 9.7659 Å, c = 6.0251 Å, α = 90.00°, β = 90.00° and γ = 90.00°. The distinct sites, in fractional coordinates, are Cs at (0.0000, 0.1485, 0.0000), Cd at (0.5000, 0.2677, 0.4966), As at (0.5000, 0.4873, 0.7962) and O at (0.0000, 0.1398, 0.5023).

The total energy is -3.35 eV/atom. The energy above the lowest structure with this stoichiometry is 0.00 kcal/mol of atoms.

---

No. 3
A relaxed Cs2Cd2AsP crystal. Source: OQMD, functional PBE.

It has space group P4mm (No. 99), with a = 4.6351 Å, b = 4.6351 Å, c = 8.8901 Å, α = 90.00°, β = 90.00° and γ = 90.00°. The distinct sites, in fractional coordinates, are Cs at (0.0000, 0.0000, 0.0000), Cs at (0.5000, 0.5000, 0.3140), Cd at (0.0000, 0.5000, 0.6620), As at (0.0000, 0.0000, 0.4797) and P at (0.5000, 0.5000, 0.8321).

The total energy is -2.63 eV/atom.

---

Number 3 is which compound?
Cs2Cd2AsP